# Tl2CdSi, relaxed, DFT GGA-PBE
# excess energy over the best structure of this formula in the dataset = 0.04 eV/f.u.
# raw formation energy = 0.27 eV/atom
# SG = Pmm2, No. 25
# mass density = 8.9 Mg/m³
# E_tot = -2.49 eV/atom
# crystal system = orthorhombic
data_Tl2CdSi
_space_group_name_H-M_alt 'P 1'
_space_group_IT_number 1
_cell_length_a 3.370
_cell_length_b 3.698
_cell_length_c 8.249
_cell_angle_alpha 90.00
_cell_angle_beta 90.00
_cell_angle_gamma 90.00
loop_
_space_group_symop_operation_xyz
'x,y,z'
loop_
_atom_site_label
_atom_site_type_symbol
_atom_site_fract_x
_atom_site_fract_y
_atom_site_fract_z
_atom_site_occupancy
Cd1 Cd 0.000 0.000 0.545 1
Si1 Si 0.500 0.500 0.719 1
Tl1 Tl 0.000 0.000 0.959 1
Tl2 Tl 0.500 0.500 0.277 1